Record 1
The following is a PBE calculation of an optimized crystal structure of U2Tl2Se5, from OQMD.

Results
As for the total energy: -106.1 eV/cell.

a b c (Å): 9.0826 9.0826 7.8481
angles (deg): 90.00 90.00 51.16
With the nearest neighbours (Å) after each atom.
Sites, in units of the cell vectors:
U 0.1577 0.8423 0.8424  8 Se 2.84-3.02
U 0.3423 0.6577 0.3424  8 Se 2.84-3.02
U 0.6577 0.3423 0.6576  8 Se 2.84-3.02
U 0.8423 0.1577 0.1576  8 Se 2.84-3.02
Tl 0.2010 0.2010 0.5000  7 Se 3.29-3.47
Tl 0.2990 0.2990 0.0000  7 Se 3.29-3.47
Tl 0.7010 0.7010 0.0000  7 Se 3.29-3.47
Tl 0.7990 0.7990 0.5000  7 Se 3.29-3.47
Se 0.0000 0.0000 0.5000  4 U 2.96, 2 Tl 3.29
Se 0.0351 0.7404 0.1471  3 U 2.84-3.02
Se 0.2404 0.5351 0.6471  3 U 2.84-3.02
Se 0.2596 0.9649 0.1471  3 U 2.84-3.02
Se 0.4649 0.7596 0.6471  3 U 2.84-3.02
Se 0.5000 0.5000 0.0000  4 U 2.96, 2 Tl 3.29
Se 0.5351 0.2404 0.3529  3 U 2.84-3.02
Se 0.7404 0.0351 0.8529  3 U 2.84-3.02
Se 0.7596 0.4649 0.3529  3 U 2.84-3.02
Se 0.9649 0.2596 0.8529  3 U 2.84-3.02



Record 2
The following is a PBE calculation of an optimized crystal structure of NpUSi, from OQMD.

Results
As for the total energy: -28.4 eV/cell. The value obtained for the excess energy over the best structure of this formula in the dataset is 0.000 eV per formula unit.

a b c (Å): 4.6038 4.6038 4.6038
angles (deg): 60.00 60.00 60.00
With the nearest neighbours (Å) after each atom.
Sites, in units of the cell vectors:
Np 0.0000 0.0000 0.0000  4 Si 2.82
U 0.5000 0.5000 0.5000  4 Si 2.82
Si 0.2500 0.2500 0.2500  4 U 2.82, 4 Np 2.82



Record 3
The following is a PBE calculation of an optimized crystal structure of Zn2Cu9, from OQMD.

Results
As for the total energy: -35.6 eV/cell. The value obtained for the formation energy is 0.030 eV per atom.

a b c (Å): 2.5494 2.5494 30.5954
angles (deg): 90.00 90.00 120.00
With the nearest neighbours (Å) after each atom.
Sites, in units of the cell vectors:
Zn 0.3333 0.6667 0.3461  6 Zn 2.55, 3 Cu 2.71
Zn 0.6667 0.3333 0.6539  6 Zn 2.55, 3 Cu 2.71
Cu 0.0000 0.0000 0.0000  12 Cu 2.54-2.55
Cu 0.0000 0.0000 0.2037  12 Cu 2.55
Cu 0.0000 0.0000 0.7963  12 Cu 2.55
Cu 0.3333 0.6667 0.1357  12 Cu 2.55
Cu 0.3333 0.6667 0.7283  9 Cu 2.55, 3 Zn 2.71
Cu 0.3333 0.6667 0.9323  12 Cu 2.54-2.55
Cu 0.6667 0.3333 0.0677  12 Cu 2.54-2.55
Cu 0.6667 0.3333 0.2717  9 Cu 2.55, 3 Zn 2.71
Cu 0.6667 0.3333 0.8643  12 Cu 2.55